Entry 1:
Pr4Tm5Sc: optimized geometry, PBE.

Unit cell a=10.7430 b=10.7430 c=5.7790 alpha=90.00 beta=90.00 gamma=90.00
With the nearest neighbours (Å) after each atom.
Space group I4mm (No. 107)
Asymmetric unit:
Pr 0.0000 0.3203 0.0000 (multiplicity 8)  5 Tm 3.37-3.75, 1 Sc 3.72
Tm 0.0000 0.0000 0.7667 (multiplicity 2)  2 Sc 2.77-3.01
Tm 0.1862 0.1862 0.4888 (multiplicity 8)  1 Sc 3.16, 3 Tm 3.25-3.48, 2 Pr 3.37
Sc 0.0000 0.0000 0.2463 (multiplicity 2)  2 Tm 2.77-3.01

Output
The energy relative to the elements is 211 meV per atom. The calculation puts the calculated density at 7.24 g cm⁻³.

=====

Entry 2:
SiP2Ru: optimized geometry, PBE.

Unit cell a=8.1581 b=3.2827 c=4.8757 alpha=90.00 beta=104.76 gamma=90.00
With the nearest neighbours (Å) after each atom.
Space group Cm (No. 8)
Asymmetric unit:
Si 0.0000 0.0000 0.0000 (multiplicity 2)  2 P 2.25, 1 Ru 2.48
P 0.1320 0.5000 0.5872 (multiplicity 2)  1 P 2.23, 2 Ru 2.37
P 0.1946 0.5000 0.0603 (multiplicity 2)  1 P 2.23, 2 Si 2.25, 1 Ru 2.34
Ru 0.4152 0.5000 0.4737 (multiplicity 2)  4 P 2.34-2.51, 2 Si 2.48-2.57

Output
The calculation puts the calculated density at 5.03 g cm⁻³. The value obtained for the uncorrected formation energy is -0.16 eV per atom.

=====

Entry 3:
CdInOs2: optimized geometry, PBE.

Unit cell a=2.9186 b=2.9186 c=28.8007 alpha=90.00 beta=90.00 gamma=120.00
With the nearest neighbours (Å) after each atom.
Space group R3m (No. 160, hexagonal axes)
Asymmetric unit:
Cd 0.0000 0.0000 0.0000 (multiplicity 3)  6 Cd 2.92, 3 Os 2.96, 3 In 3.25
In 0.0000 0.0000 0.7631 (multiplicity 3)  6 In 2.92, 3 Os 2.94, 3 Cd 3.25
Os 0.0000 0.0000 0.2487 (multiplicity 3)  3 Os 2.59
Os 0.0000 0.0000 0.5135 (multiplicity 3)  3 Os 2.59

Output
The energy relative to the elements is 444 meV per atom. The calculation puts the calculated density at 14.25 g cm⁻³.

=====

Entry 4:
Cr3CdI: optimized geometry, PBE.

Unit cell a=5.2248 b=5.2248 c=5.2248 alpha=90.00 beta=90.00 gamma=90.00
With the nearest neighbours (Å) after each atom.
Space group Pm-3m (No. 221)
Asymmetric unit:
Cr 0.0000 0.0000 0.5000 (multiplicity 3)  2 Cd 2.61
Cd 0.0000 0.0000 0.0000 (multiplicity 1)  6 Cr 2.61
I 0.5000 0.5000 0.5000 (multiplicity 1)  12 Cr 3.69

Output
Its excess energy over the best structure of this formula in the dataset is 0.0 meV per atom. The calculation puts the calculated density at 4.60 g cm⁻³. The value obtained for the uncorrected formation energy is 1.33 eV per atom.

=====

Entry 5:
Pr2CrNi9: optimized geometry, PBE.

Unit cell a=4.9434 b=4.9434 c=24.6933 alpha=90.00 beta=90.00 gamma=120.00
With the nearest neighbours (Å) after each atom.
Space group R-3m (No. 166, hexagonal axes)
Asymmetric unit:
Pr 0.0000 0.0000 0.1342 (multiplicity 6)  9 Ni 2.83-2.96
Cr 0.0000 0.0000 0.0000 (multiplicity 3)  18 Ni 2.85-3.14
Ni 0.0000 0.0000 0.3328 (multiplicity 6)  6 Ni 2.40-2.41
Ni 0.0000 0.0000 0.5000 (multiplicity 3)  6 Ni 2.60
Ni 0.0008 0.5004 0.0784 (multiplicity 18)  7 Ni 2.40-2.60

Output
The energy relative to the elements is -52 meV per atom. The calculation puts the calculated density at 8.22 g cm⁻³.

=====

Entry 6:
SiClO2: optimized geometry, PBE.

Unit cell a=3.0161 b=3.0161 c=25.7707 alpha=90.00 beta=90.00 gamma=120.00
With the nearest neighbours (Å) after each atom.
Space group R-3m (No. 166, hexagonal axes)
Asymmetric unit:
Si 0.0000 0.0000 0.0000 (multiplicity 3)  2 O 1.53
Cl 0.0000 0.0000 0.5000 (multiplicity 3)  6 Cl 3.02, 6 O 3.27
O 0.0000 0.0000 0.0594 (multiplicity 6)  1 Si 1.53

Output
Its excess energy over the best structure of this formula in the dataset is 1468.9 meV per atom. The calculation puts the calculated density at 2.34 g cm⁻³. The value obtained for the uncorrected formation energy is -0.24 eV per atom.

=====

Entry 7:
La3Eu: optimized geometry, PBE.

Unit cell a=3.7950 b=6.0743 c=6.6050 alpha=90.00 beta=90.00 gamma=90.00
With the nearest neighbours (Å) after each atom.
Space group Pmm2 (No. 25)
Asymmetric unit:
La 0.0000 0.0000 0.0000 (multiplicity 1)  8 La 3.71-3.91, 4 Eu 3.77
La 0.0000 0.5000 0.3274 (multiplicity 1)  8 La 3.72-3.80, 4 Eu 3.77-3.84
La 0.5000 0.0000 0.4821 (multiplicity 1)  10 La 3.71-3.91, 2 Eu 3.77
Eu 0.5000 0.5000 0.8213 (multiplicity 1)  10 La 3.77-3.84, 2 Eu 3.80

Output
The energy relative to the elements is 53 meV per atom. The calculation puts the calculated density at 6.20 g cm⁻³.

=====

Entry 8:
Zn3B: optimized geometry, PBE.

Unit cell a=3.6923 b=3.6923 c=7.5017 alpha=90.00 beta=90.00 gamma=90.00
With the nearest neighbours (Å) after each atom.
Space group I4/mmm (No. 139)
Asymmetric unit:
Zn 0.0000 0.0000 0.0000 (multiplicity 2)  4 B 2.61, 8 Zn 2.63
Zn 0.0000 0.5000 0.2500 (multiplicity 4)  8 Zn 2.61-2.63, 4 B 2.63
B 0.0000 0.0000 0.5000 (multiplicity 2)  12 Zn 2.61-2.63

Output
Its excess energy over the best structure of this formula in the dataset is 15.7 meV per atom. The energy relative to the elements is 630 meV per atom. The calculation puts the calculated density at 6.72 g cm⁻³.

=====

Entry 9:
PmDy2US8: optimized geometry, PBE.

Unit cell a=5.9490 b=8.2423 c=6.3059 alpha=90.00 beta=90.64 gamma=90.00
With the nearest neighbours (Å) after each atom.
Space group P2/m (No. 10)
Asymmetric unit:
Pm 0.0000 0.0000 0.0000 (multiplicity 1)  6 S 2.80-2.92
Dy 0.5000 0.2549 0.5000 (multiplicity 2)  6 S 2.72-2.77
U 0.0000 0.5000 0.0000 (multiplicity 1)  6 S 2.56-2.58
S 0.2144 0.0000 0.4182 (multiplicity 2)  2 Dy 2.75, 1 S 2.76, 1 Pm 2.92
S 0.2442 0.5000 0.3400 (multiplicity 2)  1 U 2.58, 2 Dy 2.72
S 0.2488 0.2695 0.8665 (multiplicity 4)  1 U 2.56, 1 Dy 2.77, 1 Pm 2.80

Output
The calculation puts the calculated density at 5.18 g cm⁻³. The value obtained for the uncorrected formation energy is -1.49 eV per atom.

=====

Entry 10:
GaAgB2S: optimized geometry, PBE.

Unit cell a=3.8221 b=3.8221 c=5.3531 alpha=90.00 beta=90.00 gamma=90.00
With the nearest neighbours (Å) after each atom.
Space group P4/mmm (No. 123)
Asymmetric unit:
Ga 0.0000 0.0000 0.0000 (multiplicity 1)  2 S 2.68, 4 Ag 2.70
Ag 0.5000 0.5000 0.0000 (multiplicity 1)  4 Ga 2.70
B 0.0000 0.5000 0.5000 (multiplicity 2)  2 S 1.91
S 0.0000 0.0000 0.5000 (multiplicity 1)  4 B 1.91

Output
The calculation puts the calculated density at 4.91 g cm⁻³. The value obtained for the uncorrected formation energy is 1.25 eV per atom.

=====

Entry 11:
Ho3NiAu2: optimized geometry, PBE.

Unit cell a=11.6655 b=4.4452 c=10.6125 alpha=90.00 beta=90.00 gamma=90.00
With the nearest neighbours (Å) after each atom.
Space group Pnma (No. 62)
Asymmetric unit:
Ho 0.0505 0.2500 0.1246 (multiplicity 4)  1 Ni 2.78, 4 Au 2.97-3.02
Ho 0.1109 0.7500 0.5614 (multiplicity 4)  3 Ni 2.85-3.00, 3 Au 2.96-3.01
Ho 0.2360 0.2500 0.7936 (multiplicity 4)  2 Ni 2.87, 3 Au 2.97-3.16
Ni 0.1260 0.2500 0.3729 (multiplicity 4)  3 Au 2.58-2.75, 4 Ho 2.78-2.87
Au 0.0030 0.7500 0.3033 (multiplicity 4)  2 Ni 2.75, 7 Ho 2.96-3.05
Au 0.1895 0.7500 0.0070 (multiplicity 4)  1 Ni 2.58

Output
The energy relative to the elements is -687 meV per atom. The calculation puts the calculated density at 11.44 g cm⁻³.

=====

Entry 12:
La2PbI2: optimized geometry, PBE.

Unit cell a=11.3575 b=9.2937 c=8.1741 alpha=90.00 beta=91.33 gamma=90.00
With the nearest neighbours (Å) after each atom.
Space group P2_1/c (No. 14)
Asymmetric unit:
La 0.0030 0.1234 0.2368 (multiplicity 4)  3 Pb 3.24-3.25, 3 I 3.33-3.39
La 0.3247 0.1396 0.5996 (multiplicity 4)  2 Pb 3.19, 4 I 3.25-3.37
Pb 0.1631 0.1290 0.9140 (multiplicity 4)  5 La 3.19-3.25
I 0.1687 0.6232 0.9288 (multiplicity 4)  4 La 3.31-3.39
I 0.4929 0.6438 0.2116 (multiplicity 4)  3 La 3.25-3.37

Output
The calculation puts the calculated density at 5.69 g cm⁻³. The value obtained for the uncorrected formation energy is -1.03 eV per atom.